1.
Crystalline SrZrCl2 at its relaxed geometry, computed with PBE.

```
4
Lattice="3.377 0.000 0.000 0.000 3.377 0.000 0.000 0.000 8.797" Properties=species:S:1:pos:R:3 pbc="T T T"
Sr 0.000 0.000 0.000
Zr 0.000 0.000 4.399
Cl 1.688 1.688 2.881
Cl 1.688 1.688 5.917
```

Summary:
The value obtained for the excess energy over the best structure of this formula in the dataset is 1.608 eV/f.u. The uncorrected formation energy comes out at -70 kJ per mole of atoms.

2.
Crystalline NaLaCu at its relaxed geometry, computed with PBE.

```
6
Lattice="3.688 0.000 0.000 0.000 3.688 0.000 0.000 0.000 12.104" Properties=species:S:1:pos:R:3 pbc="T T T"
Na 0.922 0.922 1.251
Na 2.766 2.766 10.853
La 0.922 0.922 4.630
La 2.766 2.766 7.474
Cu 0.922 0.922 9.038
Cu 2.766 2.766 3.067
```

Summary:
The calculation puts the calculated formation energy at 0.0723 eV per atom.

3.
Crystalline ZnSi2Se at its relaxed geometry, computed with PBE.

```
4
Lattice="1.370 0.791 10.934 -1.370 0.791 10.934 0.000 -1.581 10.934" Properties=species:S:1:pos:R:3 pbc="T T T"
Zn 0.000 0.000 0.000
Si 0.000 0.000 8.625
Si 0.000 0.000 24.176
Se 0.000 0.000 16.401
```

Summary:
The value obtained for the excess energy over the best structure of this formula in the dataset is 1.647 eV/f.u. The uncorrected formation energy comes out at 41 kJ per mole of atoms.

4.
Crystalline Sr3Co5Br12 at its relaxed geometry, computed with PBE.

```
80
Lattice="-8.195 8.195 8.195 8.195 -8.195 8.195 8.195 8.195 -8.195" Properties=species:S:1:pos:R:3 pbc="T T T"
Sr 4.097 2.049 0.000
Sr 8.195 4.097 -2.049
Sr 2.049 0.000 4.097
Sr 10.243 0.000 4.097
Sr 0.000 4.097 2.049
Sr 4.097 -2.049 8.195
Sr 4.097 10.243 0.000
Sr 8.195 4.097 6.146
Sr -2.049 8.195 4.097
Sr 6.146 8.195 4.097
Sr 0.000 4.097 10.243
Sr 4.097 6.146 8.195
Co 0.000 0.000 0.000
Co 4.097 4.097 -4.097
Co 4.097 -4.097 4.097
Co 8.195 0.000 0.000
Co 12.292 2.049 0.000
Co 8.195 -4.097 6.146
Co 6.146 8.195 -4.097
Co 6.146 0.000 4.097
Co 4.097 6.146 0.000
Co 8.195 4.097 2.049
Co -4.097 4.097 4.097
Co 0.000 8.195 0.000
Co 0.000 0.000 8.195
Co 4.097 4.097 4.097
Co 0.000 4.097 6.146
Co 4.097 2.049 8.195
Co 2.049 8.195 4.097
Co 2.049 0.000 12.292
Co 0.000 12.292 2.049
Co -4.097 6.146 8.195
Br 2.421 -0.511 0.907
Br 9.871 5.005 -4.608
Br 10.616 0.511 0.907
Br 9.871 -3.190 4.608
Br 7.684 -0.907 2.421
Br 12.803 -1.676 3.190
Br 0.907 2.421 -0.511
Br 11.384 3.586 -1.676
Br 5.005 4.608 -1.676
Br 7.287 2.421 0.511
Br -0.511 0.907 2.421
Br 4.608 -1.676 5.005
Br 7.684 7.287 -2.421
Br 4.608 1.676 3.190
Br 5.005 -4.608 9.871
Br 7.287 -2.421 7.684
Br 3.190 4.608 1.676
Br 9.102 5.773 0.511
Br 4.608 9.871 -3.190
Br 7.684 0.907 5.773
Br 2.421 7.684 -0.907
Br 9.871 3.190 3.586
Br 1.676 3.190 4.608
Br 2.421 0.511 7.287
Br 5.773 7.684 0.907
Br 6.518 5.005 3.586
Br -1.676 5.005 4.608
Br 5.773 0.511 9.102
Br 0.511 7.287 2.421
Br 3.586 -1.676 11.384
Br -0.907 2.421 7.684
Br 5.005 3.586 6.518
Br 0.907 10.616 0.511
Br 3.190 12.803 -1.676
Br 3.586 6.518 5.005
Br 0.511 0.907 10.616
Br 3.586 9.871 3.190
Br 8.706 7.287 5.773
Br 0.907 5.773 7.684
Br 3.190 3.586 9.871
Br -3.190 4.608 9.871
Br 7.287 5.773 8.706
Br -4.608 9.871 5.005
Br 0.511 9.102 5.773
Br -1.676 11.384 3.586
Br -2.421 7.684 7.287
Br -1.676 3.190 12.803
Br 5.773 8.706 7.287
```

Summary:
The uncorrected formation energy comes out at -81 kJ per mole of atoms.

5.
Crystalline SrSi2S4 at its relaxed geometry, computed with PBE.

```
7
Lattice="-3.803 3.803 2.967 3.803 -3.803 2.967 3.803 3.803 -2.967" Properties=species:S:1:pos:R:3 pbc="T T T"
Sr 0.000 0.000 0.000
Si 3.803 0.000 1.483
Si 0.000 3.803 1.483
S 2.700 1.342 0.000
S 2.462 -1.103 2.967
S 1.342 4.906 0.000
S 1.103 2.462 2.967
```

Summary:
The uncorrected formation energy comes out at -63 kJ per mole of atoms.

6.
Crystalline Zn2SbRh at its relaxed geometry, computed with PBE.

```
4
Lattice="1.604 0.926 8.264 -1.604 0.926 8.264 0.000 -1.852 8.264" Properties=species:S:1:pos:R:3 pbc="T T T"
Zn 0.000 0.000 5.921
Zn 0.000 0.000 18.871
Sb 0.000 0.000 0.000
Rh 0.000 0.000 12.396
```

Summary:
The uncorrected formation energy comes out at 6 kJ per mole of atoms.

7.
Crystalline Sr2MgHgPd at its relaxed geometry, computed with PBE.

```
5
Lattice="5.836 0.000 0.000 0.000 5.836 0.000 0.000 0.000 5.096" Properties=species:S:1:pos:R:3 pbc="T T T"
Sr 0.000 2.918 0.000
Sr 2.918 0.000 0.000
Mg 0.000 0.000 2.548
Hg 2.918 2.918 2.548
Pd 0.000 0.000 0.000
```

Summary:
The calculation puts the calculated formation energy at -0.3653 eV per atom.

8.
Crystalline Nd3HfPb5 at its relaxed geometry, computed with PBE.

```
18
Lattice="9.612 0.000 0.000 -4.806 8.324 0.000 0.000 0.000 6.482" Properties=species:S:1:pos:R:3 pbc="T T T"
Nd -1.852 3.208 1.621
Nd -2.954 5.116 4.862
Nd 3.704 0.000 1.621
Nd 1.852 3.208 4.862
Nd 5.908 0.000 4.862
Nd 2.954 5.116 1.621
Hf 0.000 0.000 0.000
Hf 0.000 0.000 3.241
Pb -1.296 2.244 4.862
Pb -3.510 6.080 1.621
Pb 2.591 0.000 4.862
Pb 1.296 2.244 1.621
Pb 0.000 5.549 0.000
Pb 0.000 5.549 3.241
Pb 4.806 2.775 0.000
Pb 4.806 2.775 3.241
Pb 7.021 0.000 1.621
Pb 3.510 6.080 4.862
```

Summary:
The calculation puts the calculated formation energy at -0.4154 eV per atom.

9.
Crystalline Tl6In12Au at its relaxed geometry, computed with PBE.

```
19
Lattice="6.230 3.597 4.138 -6.230 3.597 4.138 0.000 -7.194 4.138" Properties=species:S:1:pos:R:3 pbc="T T T"
Tl -1.535 -1.455 3.316
Tl -0.493 2.057 3.316
Tl 2.028 -0.602 3.316
Tl -2.028 0.602 9.098
Tl 0.493 -2.057 9.098
Tl 1.535 1.455 9.098
In -0.364 -4.686 3.210
In -3.876 2.658 3.210
In -2.756 0.693 5.486
In -1.978 -2.040 6.927
In -4.240 -2.028 9.203
In 0.778 -2.733 5.486
In -0.778 2.733 6.927
In 4.240 2.028 3.210
In 1.978 2.040 5.486
In 2.756 -0.693 6.927
In 3.876 -2.658 9.203
In 0.364 4.686 9.203
Au 0.000 0.000 6.207
```

Summary:
The calculation puts the calculated formation energy at 0.0433 eV per atom.

10.
Crystalline AuC3I at its relaxed geometry, computed with PBE.

```
5
Lattice="4.196 0.000 0.000 0.000 4.196 0.000 0.000 0.000 4.196" Properties=species:S:1:pos:R:3 pbc="T T T"
Au 0.000 0.000 0.000
C 0.000 2.098 2.098
C 2.098 0.000 2.098
C 2.098 2.098 0.000
I 2.098 2.098 2.098
```

Summary:
The value obtained for the excess energy over the best structure of this formula in the dataset is 2.334 eV/f.u. The uncorrected formation energy comes out at 341 kJ per mole of atoms.

11.
Crystalline NdTmCu4 at its relaxed geometry, computed with PBE.

```
6
Lattice="0.000 3.742 3.742 3.742 0.000 3.742 3.742 3.742 0.000" Properties=species:S:1:pos:R:3 pbc="T T T"
Nd 0.000 0.000 0.000
Tm 5.613 5.613 5.613
Cu 2.815 2.815 2.815
Cu 4.669 4.669 2.815
Cu 4.669 2.815 4.669
Cu 2.815 4.669 4.669
```

Summary:
The value obtained for the excess energy over the best structure of this formula in the dataset is 0.634 eV/f.u. The calculation puts the calculated formation energy at -0.1366 eV per atom.

12.
Crystalline LaZrGe2 at its relaxed geometry, computed with PBE.

```
4
Lattice="0.000 3.569 3.569 3.569 0.000 3.569 3.569 3.569 0.000" Properties=species:S:1:pos:R:3 pbc="T T T"
La 0.000 0.000 0.000
Zr 3.569 3.569 3.569
Ge 1.785 1.785 1.785
Ge 5.354 5.354 5.354
```

Summary:
The value obtained for the excess energy over the best structure of this formula in the dataset is 1.093 eV/f.u. The calculation puts the calculated formation energy at -0.4237 eV per atom.

13.
Crystalline Tb2B2Rh5 at its relaxed geometry, computed with PBE.

```
9
Lattice="4.168 0.000 0.000 0.000 4.168 0.000 0.000 0.000 8.163" Properties=species:S:1:pos:R:3 pbc="T T T"
Tb 0.000 0.000 0.000
Tb 0.000 0.000 4.082
B 2.084 2.084 1.824
B 2.084 2.084 6.339
Rh 0.000 2.084 2.021
Rh 0.000 2.084 6.142
Rh 2.084 0.000 2.021
Rh 2.084 0.000 6.142
Rh 2.084 2.084 4.082
```

Summary:
The calculation puts the calculated formation energy at -0.6867 eV per atom.

14.
Crystalline Ca2Tl5Ga at its relaxed geometry, computed with PBE.

```
16
Lattice="7.347 0.000 0.000 0.000 14.550 0.000 0.000 0.000 4.207" Properties=species:S:1:pos:R:3 pbc="T T T"
Ca 1.756 1.753 0.000
Ca 1.917 9.028 0.000
Ca 5.430 5.522 0.000
Ca 5.591 12.797 0.000
Tl 0.000 7.275 2.103
Tl 0.010 3.700 2.103
Tl 1.707 12.808 0.000
Tl 1.967 5.533 0.000
Tl 3.664 10.975 2.103
Tl 3.674 0.000 2.103
Tl 3.684 3.575 2.103
Tl 5.381 9.017 0.000
Tl 5.640 1.742 0.000
Tl 7.337 10.850 2.103
Ga 0.000 0.000 2.103
Ga 3.674 7.275 2.103
```

Summary:
The calculation puts the calculated formation energy at -0.2183 eV per atom.

15.
Crystalline Pr2GdTm at its relaxed geometry, computed with PBE.

```
4
Lattice="5.154 0.000 0.000 0.000 5.154 0.000 0.000 0.000 5.062" Properties=species:S:1:pos:R:3 pbc="T T T"
Pr 0.000 2.577 0.000
Pr 2.577 0.000 0.000
Gd 0.000 0.000 2.531
Tm 2.577 2.577 2.531
```

Summary:
The value obtained for the excess energy over the best structure of this formula in the dataset is 0.000 eV/f.u. The calculation puts the calculated formation energy at 0.0135 eV per atom.

16.
Crystalline Ca2PrZn2Sn2 at its relaxed geometry, computed with PBE.

```
7
Lattice="2.266 1.308 11.554 -2.266 1.308 11.554 0.000 -2.617 11.554" Properties=species:S:1:pos:R:3 pbc="T T T"
Ca 0.000 0.000 4.211
Ca 0.000 0.000 30.452
Pr 0.000 0.000 0.000
Zn 0.000 0.000 13.332
Zn 0.000 0.000 21.331
Sn 0.000 0.000 9.296
Sn 0.000 0.000 25.367
```

Summary:
The calculation puts the calculated formation energy at -0.4329 eV per atom.

17.
Crystalline NdSmReN4 at its relaxed geometry, computed with PBE.

```
7
Lattice="-1.949 1.949 6.259 1.949 -1.949 6.259 1.949 1.949 -6.259" Properties=species:S:1:pos:R:3 pbc="T T T"
Nd 0.000 0.000 0.000
Sm 0.000 0.000 8.859
Re 0.000 0.000 4.420
N 0.000 0.000 2.349
N 1.949 0.000 4.418
N 0.000 0.000 6.525
N 0.000 1.949 4.418
```

Summary:
The uncorrected formation energy comes out at -85 kJ per mole of atoms.

18.
Crystalline Pr6Ge2IrBr3 at its relaxed geometry, computed with PBE.

```
12
Lattice="9.646 -2.129 0.000 9.646 2.129 0.000 -2.359 0.000 8.783" Properties=species:S:1:pos:R:3 pbc="T T T"
Pr -0.400 0.000 1.909
Pr 5.252 0.000 3.809
Pr 4.595 0.000 7.880
Pr 12.338 0.000 0.903
Pr 11.681 0.000 4.974
Pr 17.333 0.000 6.875
Ge 2.397 0.000 2.973
Ge 14.536 0.000 5.810
Ir 9.646 0.000 0.000
Br 1.379 0.000 7.340
Br 8.466 0.000 4.392
Br 15.554 0.000 1.444
```

Summary:
The uncorrected formation energy comes out at -107 kJ per mole of atoms.

19.
Crystalline OsAuN3 at its relaxed geometry, computed with PBE.

```
5
Lattice="3.945 0.000 0.000 0.000 3.945 0.000 0.000 0.000 3.945" Properties=species:S:1:pos:R:3 pbc="T T T"
Os 0.000 0.000 0.000
Au 1.973 1.973 1.973
N 0.000 1.973 1.973
N 1.973 0.000 1.973
N 1.973 1.973 0.000
```

Summary:
The uncorrected formation energy comes out at 298 kJ per mole of atoms.

20.
Crystalline TiAl at its relaxed geometry, computed with PBE.

```
8
Lattice="0.000 3.974 9.217 2.275 0.000 9.217 2.275 3.974 0.000" Properties=species:S:1:pos:R:3 pbc="T T T"
Ti 2.858 2.981 6.912
Ti 3.996 4.968 11.521
Ti 0.554 2.981 6.912
Ti 1.691 4.968 11.521
Al 1.706 2.981 0.513
Al 2.844 4.968 5.121
Al 1.706 2.981 13.312
Al 2.844 4.968 17.920
```

Summary:
The calculation puts the calculated formation energy at 0.5626 eV per atom.

The records above yield size of the total moment values of 0.00 0.00 0.00 44.00 0.00 0.00 0.00 0.00 0.00 0.00 0.00 1.35 0.00 0.00 7.29 0.00 0.00 0.00 0.00 0.79 Bohr magnetons per cell, respectively.
The records above yield E_tot values of -4.204 -3.375 -3.477 -3.876 -4.798 -3.446 -2.456 -5.171 -2.606 -2.963 -4.407 -6.101 -7.284 -2.576 -7.014 -3.195 -8.776 -5.420 -4.813 -5.256 eV/atom, respectively.